(1)
A plane-wave DFT calculation with GGA-PBE was carried out for an optimized crystal structure of VSbH.

Results
E above lowest polymorph	0.065	eV per atom
calculated total energy	-5.57	eV/atom

Cell lengths 3.2512, 4.6014, 6.9330 Å; angles 81.66, 89.96, 69.37 degrees
Space group P-1 (No. 2)
Symmetry-distinct sites (fractional):
V1 0.1350 0.2321 0.4436 (multiplicity 2)
Sb1 0.3962 0.7079 0.2227 (multiplicity 2)
H1 0.3008 0.8970 0.6329 (multiplicity 2)

(2)
A plane-wave DFT calculation with GGA-PBE was carried out for an optimized crystal structure of InRu2Br.

Results
E above lowest polymorph	0.538	eV per atom
E_form (uncorrected)	0.80	eV per atom
calculated total energy	-4.94	eV/atom

Cell lengths 6.4913, 6.4913, 6.4913 Å; angles 90.00, 90.00, 90.00 degrees
Space group Fm-3m (No. 225)
Symmetry-distinct sites (fractional):
In1 0.0000 0.0000 0.0000 (multiplicity 4)
Ru1 0.2500 0.2500 0.2500 (multiplicity 8)
Br1 0.0000 0.0000 0.5000 (multiplicity 4)